A plane-wave DFT calculation with meta-GGA SCAN was carried out for a crystal of TcAsRuSe2 relaxed with PBEsol.

```
5
Lattice="-0.258 -1.858 -4.181 4.465 -1.700 0.480 -1.745 -4.047 1.906" Properties=species:S:1:pos:R:3 pbc="T T T"
Se 2.233 -0.850 0.240
Tc 1.231 -3.802 -0.898
Ru 0.000 0.000 0.000
Se -0.873 -2.024 0.953
As -0.129 -0.929 -2.091
```

Properties
The uncorrected formation energy comes out at 4.89 eV per formula unit. The value obtained for the final energy is -25.069 eV/atom.

A plane-wave DFT calculation with meta-GGA SCAN was carried out for a crystal of NiSnF6 relaxed with PBEsol.

```
8
Lattice="-4.436 2.140 -1.098 -4.230 -1.714 2.153 -2.320 3.102 3.824" Properties=species:S:1:pos:R:3 pbc="T T T"
Ni 0.000 0.000 0.000
F -5.582 2.257 0.512
Sn -5.493 1.764 2.440
F -7.058 0.556 2.204
F -6.721 3.268 2.881
F -4.264 0.260 1.999
F -3.927 2.973 2.675
F -5.403 1.271 4.367
```

Properties
The uncorrected formation energy comes out at -19.95 eV per formula unit. The value obtained for the final energy is -11.661 eV/atom.

A plane-wave DFT calculation with meta-GGA SCAN was carried out for a crystal of Be2NiRu relaxed with PBEsol.

```
4
Lattice="2.580 0.000 0.000 1.290 2.235 0.000 1.290 0.745 7.162" Properties=species:S:1:pos:R:3 pbc="T T T"
Ni 2.580 1.490 3.581
Ru 0.000 0.000 0.000
Be 1.290 0.745 1.867
Be 3.870 2.235 5.295
```

Properties
The calculation puts the formation energy at -56 kJ/mol of formula units. The value obtained for the final energy is -15.071 eV/atom.

A plane-wave DFT calculation with meta-GGA SCAN was carried out for a crystal of Be4ZnFe relaxed with PBEsol.

```
6
Lattice="-0.909 -1.685 3.753 2.975 -2.054 2.163 1.599 1.693 3.512" Properties=species:S:1:pos:R:3 pbc="T T T"
Be 1.495 -2.113 4.143
Be 0.815 -0.260 4.810
Be 2.735 -0.443 4.024
Fe 0.916 -0.512 2.357
Be 2.285 -1.276 5.879
Zn 0.000 0.000 0.000
```

Properties
The calculation puts the formation energy at -50 kJ/mol of formula units. The value obtained for the final energy is -8.263 eV/atom.

A plane-wave DFT calculation with meta-GGA SCAN was carried out for a crystal of ScIN2F relaxed with PBEsol.

```
5
Lattice="-1.134 3.452 1.942 -3.447 -1.855 1.284 2.719 -1.773 4.740" Properties=species:S:1:pos:R:3 pbc="T T T"
I 1.360 -0.886 2.370
N -0.567 1.726 0.971
F -0.931 -0.088 3.983
N -1.724 -0.928 0.642
Sc 0.000 0.000 0.000
```

Properties
The calculation puts the energy above the most stable polymorph in this dataset at 0 meV/atom. The uncorrected formation energy comes out at 2.04 eV per formula unit. The value obtained for the final energy is -14.211 eV/atom.

A plane-wave DFT calculation with meta-GGA SCAN was carried out for a crystal of RbZrTi2Ga relaxed with PBEsol.

```
5
Lattice="-4.419 1.737 -1.474 -1.481 -4.635 -1.021 -1.826 -0.494 4.893" Properties=species:S:1:pos:R:3 pbc="T T T"
Ti -2.210 0.868 -0.737
Ga 0.000 0.000 0.000
Ti -0.741 -2.317 -0.510
Zr -0.913 -0.247 2.446
Rb -3.863 -1.696 1.199
```

Properties
The calculation puts the formation energy at 427 kJ/mol of formula units. The value obtained for the final energy is -19.084 eV/atom.

A plane-wave DFT calculation with meta-GGA SCAN was carried out for a crystal of CsSn2Se2 relaxed with PBEsol.

```
5
Lattice="4.583 0.000 0.000 0.000 4.583 0.000 -2.292 -2.292 7.160" Properties=species:S:1:pos:R:3 pbc="T T T"
Se 0.000 0.000 5.822
Se 2.292 2.292 1.338
Sn 0.000 2.292 3.580
Sn 2.292 0.000 3.580
Cs 0.000 0.000 0.000
```

Properties
The uncorrected formation energy comes out at -1.67 eV per formula unit. The value obtained for the final energy is -30.297 eV/atom.

A plane-wave DFT calculation with meta-GGA SCAN was carried out for a crystal of KFe2Hg relaxed with PBEsol.

```
4
Lattice="3.544 0.000 0.000 0.000 3.544 0.000 0.000 0.000 7.171" Properties=species:S:1:pos:R:3 pbc="T T T"
K 1.772 1.772 3.585
Fe 0.000 0.000 1.043
Hg 1.772 1.772 0.000
Fe 0.000 0.000 6.128
```

Properties
The calculation puts the formation energy at 277 kJ/mol of formula units. The value obtained for the final energy is -27.471 eV/atom.

A plane-wave DFT calculation with meta-GGA SCAN was carried out for a crystal of Ba2AgAs relaxed with PBEsol.

```
4
Lattice="4.755 -0.032 -0.036 -2.348 4.134 0.036 -2.329 -1.391 7.828" Properties=species:S:1:pos:R:3 pbc="T T T"
Ag 1.213 -0.711 3.896
As 1.203 2.051 0.000
Ba 3.582 0.655 1.689
Ba -3.506 2.056 6.139
```

Properties
The calculation puts the formation energy at -302 kJ/mol of formula units. The value obtained for the final energy is -33.447 eV/atom.

A plane-wave DFT calculation with meta-GGA SCAN was carried out for a crystal of NbCu3B relaxed with PBEsol.

```
5
Lattice="3.918 0.000 0.000 0.000 3.918 0.000 0.000 0.000 3.918" Properties=species:S:1:pos:R:3 pbc="T T T"
Cu 1.959 0.000 0.000
Cu 0.000 0.000 1.959
B 0.000 0.000 0.000
Cu 0.000 1.959 0.000
Nb 1.959 1.959 1.959
```

Properties
The calculation puts the formation energy at 147 kJ/mol of formula units. The value obtained for the final energy is -16.927 eV/atom.

A plane-wave DFT calculation with meta-GGA SCAN was carried out for a crystal of Mg3ZrTi relaxed with PBEsol.

```
5
Lattice="-1.202 -3.492 -3.309 -1.016 -3.150 3.692 -4.702 1.573 0.048" Properties=species:S:1:pos:R:3 pbc="T T T"
Zr -3.460 -2.534 0.216
Mg -2.351 0.787 0.024
Mg -0.601 -1.746 -1.655
Mg -0.508 -1.575 1.846
Ti 0.000 0.000 0.000
```

Properties
The calculation puts the formation energy at 472 kJ/mol of formula units. The value obtained for the final energy is -11.351 eV/atom.

A plane-wave DFT calculation with meta-GGA SCAN was carried out for a crystal of Co2AsOs relaxed with PBEsol.

```
4
Lattice="-0.546 -0.758 2.488 3.046 -3.186 -0.302 1.766 3.750 1.530" Properties=species:S:1:pos:R:3 pbc="T T T"
Os -0.273 -0.379 1.244
As 2.133 -0.097 1.858
Co 1.523 -1.593 -0.151
Co 0.883 1.875 0.765
```

Properties
The calculation puts the formation energy at 115 kJ/mol of formula units. The value obtained for the final energy is -31.372 eV/atom.